# CrOsI2N

Crystalline CrOsI2N at its relaxed geometry (PBE, the Alexandria database).

Calculated values
ρ: 7.24 g/cm³
Formation energy (no corrections): 3.3 eV per formula unit
Calculated total energy: -5.787 eV/atom

CIF file:
```
data_CrOsI2N
_chemical_formula_sum 'Cr1 Os1 I2 N1'
_cell_length_a 5.592
_cell_length_b 5.592
_cell_length_c 3.739
_cell_angle_alpha 90.00
_cell_angle_beta 90.00
_cell_angle_gamma 90.00
_symmetry_space_group_name_H-M 'P 4/m m m'
_symmetry_Int_Tables_number 123
_symmetry_space_group_name_Hall '-P 4 2'
loop_
_atom_site_label
_atom_site_fract_x
_atom_site_fract_y
_atom_site_fract_z
Cr1 0.000 0.000 0.000
Os1 0.500 0.500 0.500
I1 0.000 0.500 0.500
N1 0.500 0.500 0.000
```